{"formula": "KTa2Re", "functional": "GGA-PBE", "state": "relaxed", "cell": [[4.249, -0.169, 0.072], [3.280, 2.707, 0.072], [0.317, 0.107, 8.656]], "species": ["K", "Re", "Ta", "Ta"], "fractional_positions": [[0.250, 0.250, 0.250], [0.750, 0.750, 0.750], [0.024, 0.024, 0.899], [0.476, 0.476, 0.601]], "spacegroup": "C2/m, No. 12", "energy_ev_per_atom": -8.4598, "mass_density_g_cm3": 9.35}

{"formula": "CaMnBiI2", "functional": "GGA-PBE", "state": "relaxed", "cell": [[6.236, 0.000, 0.000], [0.000, 6.236, 0.000], [0.000, 0.000, 6.248]], "species": ["I", "I", "Ca", "Mn", "Bi"], "fractional_positions": [[0.000, 0.500, 0.000], [0.500, 0.000, 0.000], [0.000, 0.000, 0.500], [0.500, 0.500, 0.500], [0.000, 0.000, 0.000]], "spacegroup": "P4/mmm, No. 123", "energy_ev_per_atom": -3.2587, "mass_density_g_cm3": 3.81}

{"formula": "HfTlGa3", "functional": "GGA-PBE", "state": "relaxed", "cell": [[-3.565, 2.464, 3.032], [-2.911, -4.413, 0.163], [2.606, -1.559, 4.331]], "species": ["Tl", "Hf", "Ga", "Ga", "Ga"], "fractional_positions": [[0.500, 0.500, 0.500], [0.000, 0.000, 0.000], [0.000, 0.500, 0.000], [0.000, 0.000, 0.500], [0.500, 0.000, 0.000]], "spacegroup": "Pm-3m, No. 221", "energy_ev_per_atom": -3.8535, "mass_density_g_cm3": 6.64}

{"formula": "YAu2Cl6", "functional": "GGA-PBE", "state": "relaxed", "cell": [[-5.699, -3.130, -2.814], [0.341, -8.003, 4.922], [-6.208, 2.367, 6.651]], "species": ["Y", "Y", "Au", "Au", "Au", "Au", "Cl", "Cl", "Cl", "Cl", "Cl", "Cl", "Cl", "Cl", "Cl", "Cl", "Cl", "Cl"], "fractional_positions": [[0.250, 0.081, 0.919], [0.750, 0.919, 0.081], [0.383, 0.522, 0.729], [0.117, 0.271, 0.478], [0.617, 0.478, 0.271], [0.883, 0.729, 0.522], [0.524, 0.689, 0.561], [0.976, 0.439, 0.311], [0.476, 0.311, 0.439], [0.024, 0.561, 0.689], [0.828, 0.931, 0.348], [0.672, 0.652, 0.069], [0.172, 0.069, 0.652], [0.328, 0.348, 0.931], [0.111, 0.827, 0.978], [0.389, 0.022, 0.173], [0.889, 0.173, 0.022], [0.611, 0.978, 0.827]], "spacegroup": "C2/c, No. 15", "energy_ev_per_atom": -3.7262, "mass_density_g_cm3": 3.79}